DFT (PBE) results for a relaxed Nd3SiNi3 crystal.

Summary:
Space group: C2/m (12)
Raw formation energy in eV/atom: -0.470

a b c (Å): 3.989 5.777 13.760
angles (deg): 84.64 81.67 69.80
Fractional coordinates of all 14 atoms:
Ni: 0.900 0.125 0.076
Ni: 0.809 0.848 0.534
Ni: 0.100 0.875 0.924
Ni: 0.953 0.858 0.237
Ni: 0.047 0.142 0.763
Ni: 0.191 0.152 0.466
Nd: 0.478 0.659 0.385
Nd: 0.522 0.341 0.615
Nd: 0.741 0.745 0.773
Nd: 0.259 0.255 0.227
Nd: 0.398 0.281 0.923
Nd: 0.602 0.719 0.077
Si: 0.241 0.906 0.612
Si: 0.759 0.094 0.388

=====

DFT (PBE) results for a relaxed Ba2Li2HoTl5 crystal.

Summary:
Space group: P4/mbm (127)

a b c (Å): 4.008 12.041 12.041
angles (deg): 90.00 90.00 90.00
Fractional coordinates of all 20 atoms:
Ba: 0.000 0.821 0.679
Ba: 0.000 0.679 0.179
Ba: 0.000 0.321 0.821
Ba: 0.000 0.179 0.321
Ho: 0.000 0.000 0.000
Ho: 0.000 0.500 0.500
Tl: 0.500 0.940 0.206
Tl: 0.500 0.000 0.500
Tl: 0.500 0.560 0.706
Tl: 0.500 0.794 0.940
Tl: 0.500 0.294 0.560
Tl: 0.500 0.206 0.060
Tl: 0.500 0.500 0.000
Tl: 0.500 0.440 0.294
Tl: 0.500 0.060 0.794
Tl: 0.500 0.706 0.440
Li: 0.000 0.621 0.879
Li: 0.000 0.879 0.379
Li: 0.000 0.121 0.621
Li: 0.000 0.379 0.121

=====

| no. | DOS at the Fermi energy (states/eV per cell) | calculated total energy (eV/atom) |
| --- | --- | --- |
| 1 | 12.2 | -5.766 |
| 2 | 9.0 | -2.727 |